1.
ZrCrAu2: optimized geometry, PBE.

Lattice parameters (Å, degrees): 3.989 3.989 10.182 78.71 78.71 90.00
Last column: magnetic moment on the atom in μB.
Sites, in units of the cell vectors:
Cr 0.500 0.500 0.000  3.00
Cr 0.250 0.750 0.500  3.01
Au 0.613 0.125 0.250  0.01
Au 0.137 0.625 0.250  0.01
Au 0.375 0.387 0.750  0.01
Au 0.875 0.863 0.750  0.01
Zr 0.000 0.000 0.000  -0.28
Zr 0.750 0.250 0.500  -0.28

Calculated values
**Symmetry**: I-42d (122)
**Excess energy over the best structure of this formula in the dataset**: 461.9 meV/atom


2.
ZrCrAu2: optimized geometry, PBE.

Lattice parameters (Å, degrees): 3.073 3.511 6.847 90.00 90.00 90.00
Last column: magnetic moment on the atom in μB.
Sites, in units of the cell vectors:
Au 0.000 0.000 0.020  0.06
Au 0.000 0.000 0.480  0.06
Cr 0.500 0.500 0.250  3.51
Zr 0.500 0.500 0.750  0.05

Calculated values
**Symmetry**: Pmmm (47)
**Excess energy over the best structure of this formula in the dataset**: 46.5 meV/atom


3.
ZrCr3Au: optimized geometry, PBE.

Lattice parameters (Å, degrees): 4.488 4.488 4.488 90.00 90.00 90.00
Sites, in units of the cell vectors:
Cr 0.000 0.500 0.000
Cr 0.000 0.000 0.500
Cr 0.500 0.000 0.000
Au 0.500 0.500 0.500
Zr 0.000 0.000 0.000

Calculated values
**Symmetry**: Pm-3m (221)
**Excess energy over the best structure of this formula in the dataset**: 627.9 meV/atom


4.
ZrCr4Au: optimized geometry, PBE.

Lattice parameters (Å, degrees): 4.954 4.954 4.954 60.00 60.00 60.00
Sites, in units of the cell vectors:
Zr 0.750 0.750 0.750
Cr 0.871 0.376 0.376
Cr 0.376 0.376 0.871
Cr 0.376 0.871 0.376
Cr 0.376 0.376 0.376
Au 0.000 0.000 0.000

Calculated values
**Symmetry**: F-43m (216)


5.
ZrCr2Au: optimized geometry, PBE.

Lattice parameters (Å, degrees): 3.014 3.014 7.147 90.00 90.00 90.00
Last column: magnetic moment on the atom in μB.
Sites, in units of the cell vectors:
Au 0.500 0.500 0.781  0.03
Cr 0.000 0.000 0.039  2.02
Cr 0.500 0.500 0.205  -1.53
Zr 0.000 0.000 0.475  0.21

Calculated values
**Symmetry**: P4mm (99)
**Excess energy over the best structure of this formula in the dataset**: 0.0 meV/atom


6.
ZrCrAu2: optimized geometry, PBE.

Lattice parameters (Å, degrees): 4.726 4.726 4.726 60.00 60.00 60.00
Last column: magnetic moment on the atom in μB.
Sites, in units of the cell vectors:
Cr 0.000 0.000 0.000  3.64
Au 0.250 0.250 0.250  0.07
Au 0.750 0.750 0.750  0.07
Zr 0.500 0.500 0.500  0.15

Calculated values
**Symmetry**: Fm-3m (225)
**Excess energy over the best structure of this formula in the dataset**: 0.0 meV/atom


Number 1: E -5.927 eV/atom. Number 2: E -6.342 eV/atom. Number 3: E -6.181 eV/atom. Number 4: E -8.266 eV/atom. Number 5: E -7.792 eV/atom. Number 6: E -6.389 eV/atom.